Record 1
DFT (PBE-GGA) results for crystalline Ca2GaBr at its relaxed geometry.

Cell: 4.0511 4.0511 8.4691 Å, 76.16 76.16 60.00°
Last column: nearest neighbours and their distance in Å.
Positions (direct):
Ca (0.7451, 0.7451, 0.7647)  3 Ga 3.02, 3 Br 3.18
Ca (0.2549, 0.2549, 0.2353)  3 Ga 3.02, 3 Br 3.18
Ga (0.0000, 0.0000, 0.0000)  6 Ca 3.02
Br (0.5000, 0.5000, 0.5000)  6 Ca 3.18

Calculated values
formation energy (no corrections) = -0.9210 eV per atom
electronic total energy = -12.39 eV/cell
ΔE to the lowest computed polymorph = 0 meV/atom

Record 2
DFT (PBE-GGA) results for crystalline Ca2GaBr at its relaxed geometry.

Cell: 7.8659 7.8659 6.9417 Å, 55.49 55.49 90.00°
Last column: nearest neighbours and their distance in Å.
Positions (direct):
Ca (0.6280, 0.1250, 0.2500)  2 Br 2.95, 2 Ga 2.98
Ca (0.1220, 0.6250, 0.2500)  2 Br 2.95, 2 Ga 2.98
Ca (0.3750, 0.3720, 0.7500)  2 Br 2.95, 2 Ga 2.98
Ca (0.8750, 0.8780, 0.7500)  2 Br 2.95, 2 Ga 2.98
Ga (0.5000, 0.5000, 0.0000)  4 Ca 2.98
Ga (0.2500, 0.7500, 0.5000)  4 Ca 2.98
Br (0.0000, 0.0000, 0.0000)  4 Ca 2.95
Br (0.7500, 0.2500, 0.5000)  4 Ca 2.95

Calculated values
formation energy (no corrections) = -0.6524 eV per atom
electronic total energy = -22.62 eV/cell
ΔE to the lowest computed polymorph = 269 meV/atom

Record 3
DFT (PBE-GGA) results for crystalline CaGaIBr4 at its relaxed geometry.

Cell: 9.0010 9.0010 9.9803 Å, 92.45 92.45 47.89°
Last column: nearest neighbours and their distance in Å.
Positions (direct):
Ca (0.1331, 0.1331, 0.0052)  2 I 3.03-3.07, 2 Br 3.06
Ca (0.8669, 0.8669, 0.9948)  2 I 3.03-3.07, 2 Br 3.06
Ga (0.6773, 0.6773, 0.7531)  4 Br 2.28-2.43
Ga (0.3227, 0.3227, 0.2469)  4 Br 2.28-2.43
I (0.0011, 0.0011, 0.2127)  2 Ca 3.03-3.07
I (0.9989, 0.9989, 0.7873)  2 Ca 3.03-3.07
Br (0.3741, 0.3741, 0.4628)  1 Ga 2.28
Br (0.6259, 0.6259, 0.5372)  1 Ga 2.28
Br (0.9776, 0.4888, 0.1908)  1 Ga 2.43
Br (0.4109, 0.4109, 0.0684)  1 Ga 2.35
Br (0.5112, 0.0224, 0.8092)  1 Ga 2.43
Br (0.4888, 0.9776, 0.1908)  1 Ga 2.43
Br (0.5891, 0.5891, 0.9316)  1 Ga 2.35
Br (0.0224, 0.5112, 0.8092)  1 Ga 2.43

Calculated values
formation energy (no corrections) = -1.1908 eV per atom
electronic total energy = -43.21 eV/cell

Record 4
DFT (PBE-GGA) results for crystalline CaIn2GaBr5 at its relaxed geometry.

Cell: 4.3417 9.8310 16.1016 Å, 90.00 90.00 102.76°
Last column: nearest neighbours and their distance in Å.
Positions (direct):
Ca (0.7641, 0.5282, 0.5322)  6 Br 2.88-2.96
Ca (0.2359, 0.4718, 0.0322)  6 Br 2.88-2.96
In (0.8721, 0.7442, 0.7723)  3 Br 3.10-3.32
In (0.0815, 0.1629, 0.6496)  6 Br 3.23-3.44
In (0.1279, 0.2558, 0.2723)  3 Br 3.10-3.32
In (0.9185, 0.8371, 0.1496)  6 Br 3.23-3.44
Ga (0.5520, 0.1040, 0.9508)  5 Br 3.00-3.33
Ga (0.4480, 0.8960, 0.4508)  5 Br 3.00-3.33
Br (0.3848, 0.7696, 0.0068)  1 Ca 2.88, 2 In 3.23
Br (0.7072, 0.4145, 0.9147)  2 Ca 2.93, 1 Ga 3.03
Br (0.4878, 0.9756, 0.7691)  4 In 3.10-3.41, 1 Ga 3.17
Br (0.2519, 0.5037, 0.6561)  2 Ca 2.96, 1 In 3.27
Br (0.9142, 0.8283, 0.5725)  1 Ca 2.95, 2 Ga 3.00
Br (0.6152, 0.2304, 0.5068)  1 Ca 2.88, 2 In 3.23
Br (0.2928, 0.5855, 0.4147)  2 Ca 2.93, 1 Ga 3.03
Br (0.5122, 0.0244, 0.2691)  4 In 3.10-3.41, 1 Ga 3.17
Br (0.7481, 0.4963, 0.1561)  2 Ca 2.96, 1 In 3.27
Br (0.0858, 0.1717, 0.0725)  1 Ca 2.95, 2 Ga 3.00

Calculated values
formation energy (no corrections) = -1.0687 eV per atom
electronic total energy = -56.98 eV/cell